a | The following is a PBE+U calculation of a relaxed MnAgP2O crystal, from Alexandria.

Computed properties:
spin magnetization: 3.20 μB/f.u.

Unit cell a=4.8574 b=4.8574 c=4.0348 alpha=90.00 beta=90.00 gamma=90.00
Element x y z (fractional)
P  0.0000  0.5000  0.0000
P  0.5000  0.0000  0.0000
Mn  0.5000  0.5000  0.5000
O  0.0000  0.0000  0.5000
Ag  0.0000  0.0000  0.0000

=====

b | The following is a PBE+U calculation of a relaxed MnAgP2O crystal, from Alexandria.

Computed properties:
spin magnetization: 0.07 μB/f.u.

Unit cell a=4.7212 b=4.7212 c=3.4409 alpha=90.00 beta=90.00 gamma=90.00
Element x y z (fractional)
P  0.0000  0.5000  0.0000
P  0.5000  0.0000  0.0000
Mn  0.0000  0.0000  0.0000
O  0.0000  0.0000  0.5000
Ag  0.5000  0.5000  0.5000

=====

Ranking the structures above by energy, b is first and the second is 0.264 eV/atom behind.